PrDy2O PBE-GGA relaxed; energy above the lowest structure with this stoichiometry = 428 meV/atom; raw formation energy = -3.16 eV/f.u.; volume = 91.60 Å³/f.u.
1.0
3.207 0.000 0.000
0.000 3.207 0.000
0.000 0.000 8.906
Pr Dy O
1 2 1
Direct
0.000 0.000 0.000 Pr
0.500 0.500 0.327 Dy
0.500 0.500 0.673 Dy
0.000 0.000 0.500 O

Pr3DyO6 PBE-GGA relaxed; raw formation energy = -33.87 eV/f.u.; volume = 172.63 Å³/f.u.
1.0
5.043 2.911 3.920
-5.043 2.911 3.920
0.000 -5.823 3.920
Pr Dy O
6 2 12
Direct
0.057 0.563 0.752 Pr
0.248 0.943 0.437 Pr
0.437 0.248 0.943 Pr
0.563 0.752 0.057 Pr
0.752 0.057 0.563 Pr
0.943 0.437 0.248 Pr
0.000 0.000 0.000 Dy
0.500 0.500 0.500 Dy
0.033 0.903 0.691 O
0.097 0.309 0.967 O
0.192 0.590 0.434 O
0.309 0.967 0.097 O
0.410 0.566 0.808 O
0.434 0.192 0.590 O
0.566 0.808 0.410 O
0.590 0.434 0.192 O
0.691 0.033 0.903 O
0.808 0.410 0.566 O
0.903 0.691 0.033 O
0.967 0.097 0.309 O

PrDyO3 PBE-GGA relaxed; raw formation energy = -16.80 eV/f.u.; volume = 70.91 Å³/f.u.
1.0
6.159 0.000 0.000
0.000 3.445 0.000
0.000 0.000 13.368
Pr Dy O
4 4 12
Direct
0.180 0.250 0.194 Pr
0.320 0.750 0.694 Pr
0.680 0.250 0.306 Pr
0.820 0.750 0.806 Pr
0.240 0.750 0.448 Dy
0.260 0.250 0.948 Dy
0.740 0.750 0.052 Dy
0.760 0.250 0.552 Dy
0.031 0.250 0.395 O
0.129 0.250 0.786 O
0.140 0.750 0.057 O
0.360 0.250 0.557 O
0.371 0.750 0.286 O
0.469 0.750 0.895 O
0.531 0.250 0.105 O
0.629 0.250 0.714 O
0.640 0.750 0.443 O
0.860 0.250 0.943 O
0.871 0.750 0.214 O
0.969 0.750 0.605 O

Pr2DyO PBE-GGA relaxed; energy above the lowest structure with this stoichiometry = 0 meV/atom; raw formation energy = -4.39 eV/f.u.; volume = 109.14 Å³/f.u.
1.0
1.835 1.059 9.361
-1.835 1.059 9.361
0.000 -2.118 9.361
Pr Dy O
2 1 1
Direct
0.118 0.118 0.118 Pr
0.882 0.882 0.882 Pr
0.000 0.000 0.000 Dy
0.500 0.500 0.500 O

PrDyO PBE-GGA relaxed; energy above the lowest structure with this stoichiometry = 0 meV/atom; raw formation energy = -5.58 eV/f.u.; volume = 65.77 Å³/f.u.
1.0
-2.330 2.610 5.406
2.330 -2.610 5.406
2.330 2.610 -5.406
Pr Dy O
2 2 2
Direct
0.357 0.107 0.250 Pr
0.643 0.893 0.750 Pr
0.112 0.362 0.750 Dy
0.888 0.638 0.250 Dy
0.112 0.862 0.250 O
0.888 0.138 0.750 O

Pr2DyO PBE-GGA relaxed; energy above the lowest structure with this stoichiometry = 301 meV/atom; raw formation energy = -3.19 eV/f.u.; volume = 98.88 Å³/f.u.
1.0
3.280 0.000 0.000
0.000 3.280 0.000
0.000 0.000 9.193
Pr Dy O
2 1 1
Direct
0.000 0.000 0.171 Pr
0.000 0.000 0.829 Pr
0.500 0.500 0.500 Dy
0.500 0.500 0.000 O